The following is a DFT calculation (PBE) of an optimized crystal structure of AlSi2Mo.

The structure belongs to space group Imm2 (No. 44); the cell edges are 3.3211, 4.2324 and 8.0695 Å and the angles 90.00°, 90.00° and 90.00°. Symmetry generates all atoms from Al at (0.0000, 0.0000, 0.0000), Si at (0.0000, 0.0000, 0.5156), Si at (0.0000, 0.5000, 0.2527) and Mo at (0.0000, 0.5000, 0.7638).

The following is a DFT calculation (PBE) of an optimized crystal structure of AlSi2Mo2.

The structure belongs to space group P4/mbm (No. 127); the cell edges are 6.7837, 6.7837 and 3.3081 Å and the angles 90.00°, 90.00° and 90.00°. Symmetry generates all atoms from Al at (0.0000, 0.0000, 0.0000), Si at (0.1420, 0.3580, 0.5000) and Mo at (0.1520, 0.6520, 0.0000).

The following is a DFT calculation (PBE) of an optimized crystal structure of Al2SiMo.

The structure belongs to space group P4/mmm (No. 123); the cell edges are 2.7532, 2.7532 and 8.0092 Å and the angles 90.00°, 90.00° and 90.00°. Symmetry generates all atoms from Al at (0.0000, 0.0000, 0.2461), Si at (0.5000, 0.5000, 0.0000) and Mo at (0.5000, 0.5000, 0.5000).

The following is a DFT calculation (PBE) of an optimized crystal structure of AlSiMo4.

The structure belongs to space group F-43m (No. 216); the cell edges are 7.3614, 7.3614 and 7.3614 Å and the angles 90.00°, 90.00° and 90.00°. Symmetry generates all atoms from Al at (0.0000, 0.0000, 0.0000), Si at (0.2500, 0.2500, 0.2500) and Mo at (0.1250, 0.1250, 0.6250).

The following is a DFT calculation (PBE) of an optimized crystal structure of Al4SiMo.

The structure belongs to space group F-43m (No. 216); the cell edges are 7.1629, 7.1629 and 7.1629 Å and the angles 90.00°, 90.00° and 90.00°. Symmetry generates all atoms from Al at (0.1239, 0.1239, 0.3761), Si at (0.0000, 0.0000, 0.0000) and Mo at (0.2500, 0.2500, 0.7500).

The following is a DFT calculation (PBE) of an optimized crystal structure of Al2SiMo.

The structure belongs to space group P4mm (No. 99); the cell edges are 3.3483, 3.3483 and 5.3177 Å and the angles 90.00°, 90.00° and 90.00°. Symmetry generates all atoms from Al at (0.0000, 0.0000, 0.0000), Al at (0.5000, 0.5000, 0.2591), Si at (0.5000, 0.5000, 0.7433) and Mo at (0.0000, 0.0000, 0.5151).

Calculated values (eV/atom) of energy relative to the elements, uncorrected for the records, taken in order: -0.055, -0.174, 0.057, 0.402, 0.112, -0.235.
Calculated values (μB per atom) of total magnetic moment for the records, taken in order: 0.00, 0.00, 0.00, 0.00, 0.00, 0.00.
Calculated values (eV/atom) of E_tot for the records, taken in order: -6.410, -7.425, -5.878, -8.347, -5.092, -6.170.